A.
Density functional theory data (GGA-PBE) for a relaxed structure of HgBiCl3.

The structure in CIF format:
```
data_HgBiCl3
_chemical_formula_sum 'Hg4 Bi4 Cl12'
_space_group_name_H-M_alt 'I -4 m 2'
_space_group_IT_number 119
_space_group_name_Hall 'I -4 -2'
_cell_length_a 4.976
_cell_length_b 4.976
_cell_length_c 27.031
_cell_angle_alpha 90.00
_cell_angle_beta 90.00
_cell_angle_gamma 90.00
loop_
_atom_site_label
_atom_site_type_symbol
_atom_site_fract_x
_atom_site_fract_y
_atom_site_fract_z
Hg1 Hg 0.000 0.000 0.000
Hg2 Hg 0.000 0.500 0.250
Bi1 Bi 0.000 0.500 0.550
Cl1 Cl 0.000 0.000 0.282
Cl2 Cl 0.000 0.252 0.117
```

B.
Density functional theory data (GGA-PBE) for a relaxed structure of HgBiCl3.

The structure in CIF format:
```
data_HgBiCl3
_chemical_formula_sum 'Hg1 Bi1 Cl3'
_space_group_name_H-M_alt 'P m -3 m'
_space_group_IT_number 221
_space_group_name_Hall '-P 4 2 3'
_cell_length_a 5.316
_cell_length_b 5.316
_cell_length_c 5.316
_cell_angle_alpha 90.00
_cell_angle_beta 90.00
_cell_angle_gamma 90.00
loop_
_atom_site_label
_atom_site_type_symbol
_atom_site_fract_x
_atom_site_fract_y
_atom_site_fract_z
Hg1 Hg 0.000 0.000 0.000
Bi1 Bi 0.500 0.500 0.500
Cl1 Cl 0.000 0.000 0.500
```

It is B that is most stable; the runner-up trails by 74 meV/atom.

A.
Density functional theory data (GGA-PBE) for a relaxed structure of Hg2Bi2Cl.

The structure in CIF format:
```
data_Hg2Bi2Cl
_chemical_formula_sum 'Hg4 Bi4 Cl2'
_space_group_name_H-M_alt 'P 4/m b m'
_space_group_IT_number 127
_space_group_name_Hall '-P 4 2ab'
_cell_length_a 8.753
_cell_length_b 8.753
_cell_length_c 3.792
_cell_angle_alpha 90.00
_cell_angle_beta 90.00
_cell_angle_gamma 90.00
loop_
_atom_site_label
_atom_site_type_symbol
_atom_site_fract_x
_atom_site_fract_y
_atom_site_fract_z
Hg1 Hg 0.170 0.330 0.000
Bi1 Bi 0.130 0.630 0.500
Cl1 Cl 0.000 0.000 0.000
```

B.
Density functional theory data (GGA-PBE) for a relaxed structure of Hg2Bi2Cl.

The structure in CIF format:
```
data_Hg2Bi2Cl
_chemical_formula_sum 'Hg4 Bi4 Cl2'
_space_group_name_H-M_alt 'P 4/m b m'
_space_group_IT_number 127
_space_group_name_Hall '-P 4 2ab'
_cell_length_a 8.014
_cell_length_b 8.014
_cell_length_c 4.607
_cell_angle_alpha 90.00
_cell_angle_beta 90.00
_cell_angle_gamma 90.00
loop_
_atom_site_label
_atom_site_type_symbol
_atom_site_fract_x
_atom_site_fract_y
_atom_site_fract_z
Hg1 Hg 0.170 0.330 0.000
Bi1 Bi 0.137 0.637 0.500
Cl1 Cl 0.000 0.000 0.500
```

It is B that is most stable; the runner-up trails by 106 meV/atom.